Compound: CsAlAu3
Source: Alexandria
Functional: GGA-PBE
Structure: relaxed

The structure belongs to space group P1 (No. 1); the cell edges are 5.5525, 6.8726 and 7.4430 Å and the angles 63.58°, 88.30° and 89.69°. Symmetry generates all atoms from Cs at (0.0000, 0.0000, 0.0000), Cs at (0.0073, 0.7489, 0.5734), Al at (0.2982, 0.4366, 0.1157), Al at (0.4959, 0.2003, 0.5693), Au at (0.0386, 0.3015, 0.4613), Au at (0.4998, 0.0559, 0.2899), Au at (0.5001, 0.6191, 0.3295), Au at (0.5058, 0.8056, 0.8435), Au at (0.5096, 0.4017, 0.7948) and Au at (0.8257, 0.4495, 0.0877).

For the calculated total energy, the calculation gives -31.2 eV for the cell shown. Its formation energy is -1.18 eV per formula unit. The value obtained for the excess energy over the best structure of this formula in the dataset is 69 meV per atom. As for the theoretical density: 9.807 g/cm3.

=====

Compound: LaTl2Ni
Source: Alexandria
Functional: GGA-PBE
Structure: relaxed

The structure belongs to space group Cm (No. 8); the cell edges are 9.2470, 3.8724 and 6.4939 Å and the angles 90.00°, 115.46° and 90.00°. Symmetry generates all atoms from La at (0.0000, 0.0000, 0.0000), Tl at (0.1089, 0.5000, 0.6561), Tl at (0.3123, 0.5000, 0.3463) and Ni at (0.3189, 0.0000, 0.6695).

For the calculated total energy, the calculation gives -32.0 eV for the cell shown. Its formation energy is -0.54 eV per formula unit. As for the theoretical density: 9.592 g/cm3.

=====

Compound: NbV2As2
Source: Alexandria
Functional: GGA-PBE
Structure: relaxed

The structure belongs to space group P4/mbm (No. 127); the cell edges are 6.9772, 6.9772 and 3.1410 Å and the angles 90.00°, 90.00° and 90.00°. Symmetry generates all atoms from Nb at (0.0000, 0.0000, 0.0000), V at (0.1393, 0.3607, 0.5000) and As at (0.1513, 0.6513, 0.0000).

For the calculated total energy, the calculation gives -78.6 eV for the cell shown. Its formation energy is -1.70 eV per formula unit. As for the theoretical density: 7.485 g/cm3.

=====

Compound: MgMn2Cl
Source: Alexandria
Functional: GGA-PBE
Structure: relaxed

The structure belongs to space group P4mm (No. 99); the cell edges are 3.1267, 3.1267 and 7.9467 Å and the angles 90.00°, 90.00° and 90.00°. Symmetry generates all atoms from Mg at (0.0000, 0.0000, 0.0000), Mn at (0.0000, 0.0000, 0.3938), Mn at (0.5000, 0.5000, 0.2533) and Cl at (0.5000, 0.5000, 0.8166).

For the calculated total energy, the calculation gives -22.1 eV for the cell shown. The formation energy without anion corrections is -0.071 eV per atom. The value obtained for the excess energy over the best structure of this formula in the dataset is 53 meV per atom. As for the theoretical density: 3.626 g/cm3.

=====

Compound: Tl2HgAs
Source: Alexandria
Functional: GGA-PBE
Structure: relaxed

The structure belongs to space group P-1 (No. 2); the cell edges are 3.4312, 5.6018 and 5.6773 Å and the angles 89.93°, 89.47° and 89.89°. Symmetry generates all atoms from Tl at (0.0000, 0.0000, 0.0000), Tl at (0.0000, 0.5000, 0.5000), Hg at (0.5000, 0.0000, 0.5000) and As at (0.5000, 0.5000, 0.0000).

For the calculated total energy, the calculation gives -9.2 eV for the cell shown. Its formation energy is 0.49 eV per formula unit. The value obtained for the excess energy over the best structure of this formula in the dataset is 81 meV per atom. As for the theoretical density: 10.413 g/cm3.